Tm4TeSe2 | GGA-PBE | optimized geometry

Geometry as POSCAR:
```
Tm4TeSe2
1.0
-2.983 -3.319 -5.534
2.507 -4.842 4.561
-6.786 -0.044 3.684
Tm Te Se
8 2 4
direct
0.777 0.777 0.000 Tm
0.223 0.223 0.000 Tm
0.223 0.223 0.500 Tm
0.777 0.777 0.500 Tm
0.500 0.000 0.250 Tm
0.000 0.500 0.250 Tm
0.500 0.000 0.750 Tm
0.000 0.500 0.750 Tm
0.500 0.500 0.250 Te
0.500 0.500 0.750 Te
0.184 0.815 0.000 Se
0.816 0.185 0.000 Se
0.185 0.816 0.500 Se
0.815 0.184 0.500 Se
```

Results
E_form (uncorrected) = -1037 meV per atom
DOS at the Fermi energy = 11.05 states/eV/cell
ρ = 8.67 g cm⁻³
M_tot = 0.00 μB per cell

***

TmTeSe | GGA-PBE | optimized geometry

Geometry as POSCAR:
```
TmTeSe
1.0
-1.716 -1.491 -3.475
5.194 -1.544 -1.903
-2.468 -4.627 5.685
Tm Te Se
2 2 2
direct
0.155 0.655 0.309 Tm
0.845 0.345 0.691 Tm
0.500 0.752 0.000 Te
0.500 0.248 0.000 Te
0.788 0.788 0.576 Se
0.212 0.212 0.424 Se
```

Results
E_form (uncorrected) = -1358 meV per atom
DOS at the Fermi energy = 0.81 states/eV/cell
ρ = 7.61 g cm⁻³
M_tot = 0.00 μB per cell

***

Tm3TeSe2 | GGA-PBE | optimized geometry

Geometry as POSCAR:
```
Tm3TeSe2
1.0
-2.397 2.566 1.852
0.715 -3.585 5.893
8.280 7.239 0.689
Tm Te Se
6 2 4
direct
0.750 0.648 0.647 Tm
0.250 0.352 0.353 Tm
0.750 0.884 0.348 Tm
0.250 0.116 0.652 Tm
0.250 0.223 0.996 Tm
0.750 0.777 0.004 Tm
0.250 0.527 0.829 Te
0.750 0.473 0.171 Te
0.250 0.745 0.489 Se
0.750 0.255 0.511 Se
0.750 0.020 0.823 Se
0.250 0.980 0.177 Se
```

Results
E_form (uncorrected) = -1514 meV per atom
DOS at the Fermi energy = 7.91 states/eV/cell
ρ = 8.87 g cm⁻³
M_tot = 0.00 μB per cell

***

Tm3Te2Se | GGA-PBE | optimized geometry

Geometry as POSCAR:
```
Tm3Te2Se
1.0
6.454 -0.323 3.346
2.433 6.776 1.261
0.316 -0.161 7.288
Tm Te Se
6 4 2
direct
0.569 0.224 0.354 Tm
0.713 0.788 0.000 Tm
0.431 0.776 0.646 Tm
0.077 0.776 0.354 Tm
0.923 0.224 0.646 Tm
0.287 0.212 0.000 Tm
0.000 0.000 0.000 Te
0.500 0.500 0.000 Te
0.842 0.500 0.315 Te
0.158 0.500 0.685 Te
0.330 0.000 0.340 Se
0.670 0.000 0.660 Se
```

Results
E_form (uncorrected) = -1341 meV per atom
DOS at the Fermi energy = 5.30 states/eV/cell
ρ = 8.81 g cm⁻³
M_tot = 0.00 μB per cell

***

Tm6Te2Se | GGA-PBE | optimized geometry

Geometry as POSCAR:
```
Tm6Te2Se
1.0
6.616 0.000 0.163
0.000 7.530 0.000
-0.583 0.000 9.953
Tm Te Se
12 4 2
direct
0.835 0.972 0.238 Tm
0.853 0.664 0.550 Tm
0.863 0.703 0.954 Tm
0.637 0.203 0.546 Tm
0.647 0.164 0.950 Tm
0.665 0.472 0.262 Tm
0.165 0.028 0.762 Tm
0.147 0.336 0.450 Tm
0.137 0.297 0.046 Tm
0.363 0.797 0.454 Tm
0.353 0.836 0.050 Tm
0.335 0.528 0.738 Tm
0.916 0.374 0.766 Te
0.584 0.874 0.734 Te
0.416 0.126 0.266 Te
0.084 0.626 0.234 Te
0.500 0.500 0.000 Se
0.000 0.000 0.500 Se
```

Results
E_form (uncorrected) = -869 meV per atom
DOS at the Fermi energy = 15.38 states/eV/cell
ρ = 9.02 g cm⁻³
M_tot = 0.00 μB per cell

***

Tm5Te2Se | GGA-PBE | optimized geometry

Geometry as POSCAR:
```
Tm5Te2Se
1.0
5.924 0.000 0.000
-2.962 6.129 0.000
0.000 0.000 12.747
Tm Te Se
10 4 2
direct
0.948 0.897 0.883 Tm
0.948 0.897 0.617 Tm
0.389 0.779 0.416 Tm
0.389 0.779 0.084 Tm
0.633 0.265 0.250 Tm
0.367 0.735 0.750 Tm
0.611 0.221 0.584 Tm
0.611 0.221 0.916 Tm
0.052 0.103 0.117 Tm
0.052 0.103 0.383 Tm
0.805 0.611 0.423 Te
0.805 0.611 0.077 Te
0.195 0.389 0.577 Te
0.195 0.389 0.923 Te
0.769 0.538 0.750 Se
0.231 0.462 0.250 Se
```

Results
E_form (uncorrected) = -888 meV per atom
DOS at the Fermi energy = 12.02 states/eV/cell
ρ = 8.46 g cm⁻³
M_tot = 0.00 μB per cell

***

Tm6Te3Se | GGA-PBE | optimized geometry

Geometry as POSCAR:
```
Tm6Te3Se
1.0
6.916 0.000 0.000
0.000 9.278 -0.120
0.000 -2.188 9.017
Tm Te Se
12 6 2
direct
0.170 0.715 0.596 Tm
0.670 0.596 0.715 Tm
0.196 0.425 0.919 Tm
0.696 0.919 0.425 Tm
0.262 0.014 0.986 Tm
0.645 0.245 0.755 Tm
0.145 0.755 0.245 Tm
0.762 0.986 0.014 Tm
0.196 0.081 0.575 Tm
0.696 0.575 0.081 Tm
0.170 0.404 0.285 Tm
0.670 0.285 0.404 Tm
0.516 0.906 0.720 Te
0.016 0.720 0.906 Te
0.321 0.405 0.595 Te
0.821 0.595 0.405 Te
0.016 0.094 0.280 Te
0.516 0.280 0.094 Te
0.992 0.150 0.850 Se
0.492 0.850 0.150 Se
```

Results
E_form (uncorrected) = -898 meV per atom
DOS at the Fermi energy = 16.95 states/eV/cell
ρ = 8.50 g cm⁻³
M_tot = 0.00 μB per cell

***

Tm4TeSe2 | GGA-PBE | optimized geometry

Geometry as POSCAR:
```
Tm4TeSe2
1.0
-1.373 3.652 -0.746
-2.561 1.710 2.509
8.910 7.033 7.449
Tm Te Se
4 1 2
direct
0.133 0.133 0.601 Tm
0.283 0.283 0.152 Tm
0.717 0.717 0.848 Tm
0.867 0.867 0.399 Tm
0.000 0.000 0.000 Te
0.424 0.424 0.728 Se
0.576 0.576 0.272 Se
```

Results
E_form (uncorrected) = -1278 meV per atom
DOS at the Fermi energy = 2.47 states/eV/cell
ρ = 8.73 g cm⁻³
M_tot = 0.00 μB per cell